DFT (PBE) results for a relaxed LaPm4Zn crystal.

abc: 5.553 8.916 8.362
angles: 90.00 109.39 90.00
Fractional positions:
Zn (0.338, 0.300, 0.675)
La (0.135, 0.321, 0.270)
Pm (0.479, 0.960, 0.959)
Pm (0.340, 0.632, 0.679)
Pm (0.264, 0.996, 0.527)
Pm (0.736, 0.496, 0.473)
Pm (0.521, 0.460, 0.041)
Pm (0.907, 0.225, 0.815)
Pm (0.660, 0.132, 0.321)
Zn (0.662, 0.800, 0.325)
La (0.865, 0.821, 0.730)
Pm (0.093, 0.725, 0.185)

Results
The calculation puts the formation energy from the elements at 0.6 eV per formula unit. The polymorph energy (0 for the lowest one) is 0.192 eV per atom. As for the symmetry: Cmc2_1 (36).


DFT (PBE) results for a relaxed La8PmZn2 crystal.

abc: 5.455 8.551 8.984
angles: 113.33 107.68 90.00
Fractional positions:
Zn (0.780, 0.369, 0.561)
La (0.054, 0.738, 0.108)
La (0.691, 0.967, 0.381)
La (0.946, 0.262, 0.892)
Pm (0.500, 0.000, 0.000)
Zn (0.220, 0.631, 0.439)
La (0.155, 0.220, 0.309)
La (0.388, 0.525, 0.777)
La (0.309, 0.033, 0.619)
La (0.845, 0.780, 0.691)
La (0.612, 0.475, 0.223)

Results
The calculation puts the formation energy from the elements at -0.7 eV per formula unit. The polymorph energy (0 for the lowest one) is 0.000 eV per atom. As for the symmetry: C2/m (12).


DFT (PBE) results for a relaxed La3PmZn2 crystal.

abc: 7.262 7.347 9.126
angles: 113.74 113.44 90.00
Fractional positions:
La (0.229, 0.979, 0.458)
Pm (0.000, 0.500, 0.000)
Zn (0.154, 0.864, 0.727)
Zn (0.427, 0.636, 0.273)
Pm (0.000, 0.000, 0.000)
La (0.500, 0.250, 0.000)
La (0.500, 0.750, 0.000)
La (0.771, 0.521, 0.542)
La (0.771, 0.021, 0.542)
Zn (0.573, 0.364, 0.727)
La (0.229, 0.479, 0.458)
Zn (0.846, 0.136, 0.273)

Results
The calculation puts the formation energy from the elements at 0.2 eV per formula unit. The polymorph energy (0 for the lowest one) is 0.238 eV per atom. As for the symmetry: Ibam (72).


DFT (PBE) results for a relaxed La4PmZn5 crystal.

abc: 3.745 3.745 18.685
angles: 90.00 90.00 90.00
Fractional positions:
Zn (0.500, 0.500, 0.298)
Zn (0.500, 0.500, 0.702)
Zn (0.500, 0.500, 0.907)
La (0.000, 0.000, 0.601)
La (0.000, 0.000, 0.803)
La (0.000, 0.000, 0.399)
Zn (0.500, 0.500, 0.093)
La (0.000, 0.000, 0.197)
Pm (0.000, 0.000, 0.000)
Zn (0.500, 0.500, 0.500)

Results
The calculation puts the formation energy from the elements at -3.1 eV per formula unit. As for the symmetry: P4/mmm (123).


DFT (PBE) results for a relaxed La5PmZn4 crystal.

abc: 3.763 3.763 20.150
angles: 90.00 90.00 90.00
Fractional positions:
La (0.500, 0.500, 0.686)
Zn (0.000, 0.000, 0.593)
La (0.500, 0.500, 0.500)
La (0.500, 0.500, 0.871)
Zn (0.000, 0.000, 0.407)
Zn (0.000, 0.000, 0.220)
Zn (0.000, 0.000, 0.780)
La (0.500, 0.500, 0.129)
Pm (0.000, 0.000, 0.000)
La (0.500, 0.500, 0.314)

Results
The calculation puts the formation energy from the elements at -2.5 eV per formula unit. As for the symmetry: P4/mmm (123).


DFT (PBE) results for a relaxed LaPmZn2 crystal.

abc: 3.715 5.246 5.246
angles: 90.00 90.00 90.00
Fractional positions:
Zn (0.000, 0.000, 0.500)
Pm (0.500, 0.500, 0.500)
Zn (0.000, 0.500, 0.000)
La (0.500, 0.000, 0.000)

Results
The calculation puts the formation energy from the elements at -1.2 eV per formula unit. As for the symmetry: P4/mmm (123).


DFT (PBE) results for a relaxed LaPm2Zn crystal.

abc: 3.690 3.690 8.826
angles: 90.00 90.00 90.00
Fractional positions:
La (0.500, 0.500, 0.500)
Zn (0.500, 0.500, 0.000)
Pm (0.000, 0.000, 0.203)
Pm (0.000, 0.000, 0.797)

Results
The calculation puts the formation energy from the elements at -0.6 eV per formula unit. The polymorph energy (0 for the lowest one) is 0.000 eV per atom. As for the symmetry: P4/mmm (123).


DFT (PBE) results for a relaxed La6Pm2Zn crystal.

abc: 5.541 10.564 10.570
angles: 90.00 89.99 90.00
Fractional positions:
La (0.000, 0.309, 0.458)
Pm (0.000, 0.280, 0.780)
Pm (0.500, 0.780, 0.720)
La (0.500, 0.122, 0.621)
La (0.500, 0.878, 0.379)
La (0.500, 0.809, 0.042)
Zn (0.000, 0.000, 0.500)
La (0.000, 0.622, 0.879)
La (0.000, 0.378, 0.121)
La (0.000, 0.958, 0.809)
Pm (0.500, 0.220, 0.280)
Zn (0.500, 0.500, 0.000)
La (0.000, 0.042, 0.191)
La (0.500, 0.458, 0.691)
La (0.500, 0.542, 0.309)
La (0.000, 0.691, 0.542)
Pm (0.000, 0.720, 0.220)
La (0.500, 0.191, 0.958)

Results
The calculation puts the formation energy from the elements at -0.1 eV per formula unit. The polymorph energy (0 for the lowest one) is 0.034 eV per atom. As for the symmetry: P4_2/mnm (136).


DFT (PBE) results for a relaxed LaPmZn4 crystal.

abc: 5.606 5.606 5.606
angles: 60.00 60.00 60.00
Fractional positions:
Pm (0.000, 0.000, 0.000)
La (0.250, 0.250, 0.250)
Zn (0.626, 0.123, 0.626)
Zn (0.626, 0.626, 0.123)
Zn (0.123, 0.626, 0.626)
Zn (0.626, 0.626, 0.626)

Results
The calculation puts the formation energy from the elements at -2.0 eV per formula unit. The polymorph energy (0 for the lowest one) is 0.016 eV per atom. As for the symmetry: F-43m (216).


DFT (PBE) results for a relaxed La3PmZn4 crystal.

abc: 3.735 3.735 14.978
angles: 90.00 90.00 90.00
Fractional positions:
La (0.500, 0.500, 0.754)
Pm (0.500, 0.500, 0.000)
Zn (0.000, 0.000, 0.374)
La (0.500, 0.500, 0.246)
Zn (0.000, 0.000, 0.117)
La (0.500, 0.500, 0.500)
Zn (0.000, 0.000, 0.883)
Zn (0.000, 0.000, 0.626)

Results
The calculation puts the formation energy from the elements at -2.5 eV per formula unit. As for the symmetry: P4/mmm (123).


DFT (PBE) results for a relaxed La2Pm2Zn3 crystal.

abc: 5.163 5.156 8.956
angles: 90.02 106.77 119.92
Fractional positions:
Zn (0.000, 0.000, 0.000)
Pm (0.755, 0.377, 0.133)
La (0.745, 0.872, 0.614)
Zn (0.489, 0.745, 0.234)
La (0.255, 0.128, 0.386)
Zn (0.511, 0.255, 0.766)
Pm (0.245, 0.623, 0.867)

Results
The calculation puts the formation energy from the elements at -1.4 eV per formula unit. As for the symmetry: P-1 (2).


DFT (PBE) results for a relaxed LaPm4Zn crystal.

abc: 3.681 3.681 14.001
angles: 90.00 90.00 90.00
Fractional positions:
Pm (0.000, 0.000, 0.372)
Pm (0.500, 0.500, 0.814)
Zn (0.500, 0.500, 0.500)
Pm (0.000, 0.000, 0.628)
Pm (0.500, 0.500, 0.186)
La (0.000, 0.000, 0.000)

Results
The calculation puts the formation energy from the elements at -0.6 eV per formula unit. The polymorph energy (0 for the lowest one) is 0.000 eV per atom. As for the symmetry: P4/mmm (123).